No. 1
{
  "formula": "CdBrNO2",
  "functional": "PBE",
  "state": "optimized geometry",
  "e_form_raw_ev_per_atom": 1.282,
  "lattice_angstrom": [[4.478, 0.000, 0.000], [0.000, 4.478, 0.000], [0.000, 0.000, 4.445]],
  "species": ["O", "O", "N", "Br", "Cd"],
  "frac_coords": [[0.000, 0.500, 0.000], [0.500, 0.000, 0.000], [0.000, 0.000, 0.500], [0.500, 0.500, 0.500], [0.000, 0.000, 0.000]]
}


No. 2
{
  "formula": "Rb2CrPb",
  "functional": "PBE",
  "state": "optimized geometry",
  "formation_enthalpy_0k_ev_per_atom": 0.4769,
  "lattice_angstrom": [[-4.700, 7.200, 10.297], [-8.402, -9.976, 3.140], [-4.693, -2.452, 8.311]],
  "species": ["Cr", "Cr", "Pb", "Pb", "Rb", "Rb", "Rb", "Rb"],
  "frac_coords": [[0.250, 0.750, 0.500], [0.500, 0.500, 0.000], [0.750, 0.250, 0.500], [0.000, 0.000, 0.000], [0.375, 0.557, 0.750], [0.443, 0.125, 0.250], [0.307, 0.625, 0.250], [0.875, 0.693, 0.750]]
}


No. 3
{
  "formula": "CsRe3C",
  "functional": "PBE",
  "state": "optimized geometry",
  "formation_enthalpy_0k_ev_per_atom": 1.8994,
  "lattice_angstrom": [[4.303, 0.000, 0.000], [0.000, 4.303, 0.000], [0.000, 0.000, 4.303]],
  "species": ["Re", "Re", "Re", "C", "Cs"],
  "frac_coords": [[0.000, 0.000, 0.500], [0.500, 0.000, 0.000], [0.000, 0.500, 0.000], [0.000, 0.000, 0.000], [0.500, 0.500, 0.500]]
}


No. 4
{
  "formula": "SbMo",
  "functional": "PBE",
  "state": "optimized geometry",
  "e_form_raw_ev_per_atom": 0.406,
  "lattice_angstrom": [[-0.498, -4.608, -0.376], [2.479, -3.745, -1.205], [1.661, -3.909, 1.893]],
  "species": ["Sb", "Mo"],
  "frac_coords": [[0.500, 0.500, 0.500], [0.000, 0.000, 0.000]]
}


No. 5
{
  "formula": "EuDy2Er",
  "functional": "PBE",
  "state": "optimized geometry",
  "formation_enthalpy_0k_ev_per_atom": 0.1590,
  "lattice_angstrom": [[3.788, 0.000, 0.000], [0.000, 5.899, 0.000], [0.000, 0.000, 5.899]],
  "species": ["Er", "Eu", "Dy", "Dy"],
  "frac_coords": [[0.500, 0.500, 0.500], [0.500, 0.000, 0.000], [0.000, 0.500, 0.000], [0.000, 0.000, 0.500]]
}


No. 6
{
  "formula": "NbFeH2",
  "functional": "PBE",
  "state": "optimized geometry",
  "e_tot_ev_per_atom": -6.393,
  "lattice_angstrom": [[3.709, 0.000, 0.000], [0.000, 7.001, 0.000], [0.000, 0.000, 5.298]],
  "species": ["H", "H", "H", "H", "H", "H", "H", "H", "Nb", "Nb", "Nb", "Nb", "Fe", "Fe", "Fe", "Fe"],
  "frac_coords": [[0.943, 0.454, 0.138], [0.943, 0.266, 0.748], [0.943, 0.766, 0.752], [0.943, 0.954, 0.362], [0.443, 0.234, 0.248], [0.443, 0.546, 0.862], [0.443, 0.734, 0.252], [0.443, 0.046, 0.638], [0.443, 0.336, 0.613], [0.943, 0.164, 0.113], [0.943, 0.664, 0.387], [0.443, 0.836, 0.887], [0.943, 0.023, 0.671], [0.443, 0.477, 0.171], [0.943, 0.523, 0.829], [0.443, 0.977, 0.329]]
}


No. 7
{
  "formula": "CeDy7Ho2",
  "functional": "PBE",
  "state": "optimized geometry",
  "formation_enthalpy_0k_ev_per_atom": 0.0360,
  "lattice_angstrom": [[3.324, 0.057, 1.187], [-0.503, 10.891, -4.326], [2.013, -2.150, 10.174]],
  "species": ["Ho", "Ho", "Dy", "Dy", "Dy", "Dy", "Dy", "Dy", "Dy", "Ce"],
  "frac_coords": [[0.502, 0.899, 0.298], [0.498, 0.101, 0.702], [0.502, 0.297, 0.098], [0.001, 0.198, 0.398], [0.498, 0.703, 0.902], [0.500, 0.500, 0.500], [0.999, 0.802, 0.602], [0.002, 0.401, 0.799], [0.998, 0.599, 0.201], [0.000, 0.000, 0.000]]
}


No. 8
{
  "formula": "Te2O5",
  "functional": "PBE",
  "state": "optimized geometry",
  "e_form_raw_ev_per_atom": -0.916,
  "lattice_angstrom": [[-3.825, 0.566, -2.832], [-2.343, -4.441, 2.276], [-4.158, 3.185, 6.253]],
  "species": ["O", "O", "O", "O", "O", "O", "O", "O", "O", "O", "Te", "Te", "Te", "Te"],
  "frac_coords": [[0.828, 0.673, 0.221], [0.767, 0.529, 0.907], [0.457, 0.120, 0.512], [0.957, 0.880, 0.488], [0.200, 0.824, 0.792], [0.328, 0.327, 0.779], [0.274, 0.967, 0.098], [0.267, 0.471, 0.093], [0.700, 0.176, 0.208], [0.774, 0.033, 0.902], [0.114, 0.129, 0.628], [0.614, 0.871, 0.372], [0.509, 0.256, 0.990], [0.009, 0.744, 0.010]]
}


Repeat the eighth record exactly.
{
  "formula": "Te2O5",
  "functional": "PBE",
  "state": "optimized geometry",
  "e_form_raw_ev_per_atom": -0.916,
  "lattice_angstrom": [[-3.825, 0.566, -2.832], [-2.343, -4.441, 2.276], [-4.158, 3.185, 6.253]],
  "species": ["O", "O", "O", "O", "O", "O", "O", "O", "O", "O", "Te", "Te", "Te", "Te"],
  "frac_coords": [[0.828, 0.673, 0.221], [0.767, 0.529, 0.907], [0.457, 0.120, 0.512], [0.957, 0.880, 0.488], [0.200, 0.824, 0.792], [0.328, 0.327, 0.779], [0.274, 0.967, 0.098], [0.267, 0.471, 0.093], [0.700, 0.176, 0.208], [0.774, 0.033, 0.902], [0.114, 0.129, 0.628], [0.614, 0.871, 0.372], [0.509, 0.256, 0.990], [0.009, 0.744, 0.010]]
}